No. 1
Te2PdBrN, relaxed, DFT PBE; spin magnetization = 0.0 μB/f.u.; symmetry = No. 123; offset from the most stable computed form = 711.6 meV per atom; DOS at the Fermi energy = 0.849 states/eV per atom; crystal system = tetragonal
1.0
5.6830 0.0000 0.0000
0.0000 5.6830 0.0000
0.0000 0.0000 3.6313
Te Pd Br N
2 1 1 1
direct
0.0000 0.5000 0.0000
0.5000 0.0000 0.0000
0.0000 0.0000 0.5000
0.5000 0.5000 0.0000
0.5000 0.5000 0.5000

***

No. 2
Cs3Tl3RuO8, relaxed, DFT PBE; spin magnetization = 2.0 μB/f.u.; symmetry = No. 12; DOS at the Fermi energy = 0.138 states/eV per atom; crystal system = monoclinic
1.0
6.0177 -3.5376 0.0000
6.0177 3.5376 0.0000
-4.1008 0.0000 6.8598
Cs Tl Ru O
3 3 1 8
direct
0.0000 0.0000 0.0000
0.0000 0.5000 0.0000
0.5000 0.0000 0.0000
0.0000 0.5000 0.5000
0.5000 0.0000 0.5000
0.5000 0.5000 0.5000
0.0000 0.0000 0.5000
0.1890 0.7741 0.6572
0.1955 0.1955 0.6579
0.2259 0.8110 0.3428
0.2850 0.2850 0.3317
0.7150 0.7150 0.6683
0.7741 0.1890 0.6572
0.8045 0.8045 0.3421
0.8110 0.2259 0.3428

***

No. 3
KHf3F, relaxed, DFT PBE; spin magnetization = 0.0 μB/f.u.; symmetry = No. 221; offset from the most stable computed form = 0.0 meV per atom; DOS at the Fermi energy = 1.015 states/eV per atom; crystal system = cubic
1.0
4.7731 0.0000 0.0000
0.0000 4.7731 0.0000
0.0000 0.0000 4.7731
K Hf F
1 3 1
direct
0.0000 0.0000 0.0000
0.0000 0.5000 0.5000
0.5000 0.0000 0.5000
0.5000 0.5000 0.0000
0.5000 0.5000 0.5000

***

| no. | total energy (eV per atom) |
| --- | --- |
| 1 | -2.873 |
| 2 | -4.860 |
| 3 | -6.278 |